Material: TlTePd2N
Method: DFT, PBE
State: relaxed

For the density, the calculation gives 5.741 g/cm3. The uncorrected formation energy comes out at 1.23 eV/atom.

It has space group P4/mmm (No. 123), with a = 5.017 Å, b = 5.017 Å, c = 6.421 Å, α = 90.00°, β = 90.00° and γ = 90.00°. Symmetry generates all atoms from Tl at (0.000, 0.000, 0.000), Te at (0.000, 0.000, 0.500), Pd at (0.000, 0.500, 0.500) and N at (0.500, 0.500, 0.000).